# Tm2PuCl | Alexandria | PBE | optimized geometry
data_Tm2PuCl
_cell_length_a 3.4980
_cell_length_b 3.4980
_cell_length_c 29.1831
_cell_angle_alpha 90.00
_cell_angle_beta 90.00
_cell_angle_gamma 120.00
_space_group_name_H-M_alt 'R -3 m'
_space_group_IT_number 166
_space_group_name_Hall '-R 3 2"'
loop_
_atom_site_label
_atom_site_type_symbol
_atom_site_fract_x
_atom_site_fract_y
_atom_site_fract_z
_atom_site_occupancy
Tm1 Tm 0.0000 0.0000 0.2416 1
Pu1 Pu 0.0000 0.0000 0.0000 1
Cl1 Cl 0.0000 0.0000 0.5000 1
# Uncorrected formation energy = -0.5805 eV per atom
# V = 25.77 Å³ per atom
# Crystal system = trigonal
# Total magnetic moment = 17.528 μB/cell
# Density of states at the Fermi level = 20.54 states/eV per cell